No. 1
VASP calculation (SCAN) on LiHfSn3 at its PBEsol-relaxed geometry.

ΔH_f (0 K) in eV per atom: 0.47

abc: 4.832 4.832 4.832
angles: 90.00 90.00 90.00
Element x y z (fractional)
Li (0.000, 0.000, 0.000)
Hf (0.500, 0.500, 0.500)
Sn (0.000, 0.000, 0.500)
Sn (0.000, 0.500, 0.000)
Sn (0.500, 0.000, 0.000)


No. 2
VASP calculation (SCAN) on Li2HfTaW at its PBEsol-relaxed geometry.

ΔH_f (0 K) in eV per atom: 1.75

abc: 4.325 4.325 4.771
angles: 90.00 90.00 90.00
Element x y z (fractional)
Li (0.000, 0.500, 0.000)
Li (0.500, 0.000, 0.000)
Hf (0.000, 0.000, 0.000)
Ta (0.500, 0.500, 0.500)
W (0.000, 0.000, 0.500)


No. 3
VASP calculation (SCAN) on Li3HfTc at its PBEsol-relaxed geometry.

ΔH_f (0 K) in eV per atom: 1.92

abc: 4.615 4.615 4.615
angles: 90.00 90.00 90.00
Element x y z (fractional)
Li (0.000, 0.000, 0.500)
Li (0.000, 0.500, 0.000)
Li (0.500, 0.000, 0.000)
Hf (0.000, 0.000, 0.000)
Tc (0.500, 0.500, 0.500)


No. 4
VASP calculation (SCAN) on LiHf2Tc at its PBEsol-relaxed geometry.

ΔH_f (0 K) in eV per atom: 0.34
Distance to the lowest polymorph of the same formula in meV per atom: 626.1

abc: 7.094 7.094 5.667
angles: 90.00 90.00 90.00
Element x y z (fractional)
Li (0.000, 0.000, 0.000)
Li (0.000, 0.500, 0.250)
Li (0.500, 0.000, 0.750)
Li (0.500, 0.500, 0.500)
Hf (0.245, 0.750, 0.625)
Hf (0.250, 0.245, 0.375)
Hf (0.250, 0.255, 0.875)
Hf (0.255, 0.750, 0.125)
Hf (0.745, 0.250, 0.125)
Hf (0.750, 0.745, 0.875)
Hf (0.750, 0.755, 0.375)
Hf (0.755, 0.250, 0.625)
Tc (0.000, 0.000, 0.500)
Tc (0.000, 0.500, 0.750)
Tc (0.500, 0.000, 0.250)
Tc (0.500, 0.500, 0.000)


No. 5
VASP calculation (SCAN) on LiHf2Tc at its PBEsol-relaxed geometry.

ΔH_f (0 K) in eV per atom: -0.29
Distance to the lowest polymorph of the same formula in meV per atom: 0.0

abc: 6.476 6.476 6.476
angles: 90.00 90.00 90.00
Element x y z (fractional)
Li (0.000, 0.000, 0.000)
Li (0.000, 0.500, 0.500)
Li (0.500, 0.000, 0.500)
Li (0.500, 0.500, 0.000)
Hf (0.250, 0.250, 0.250)
Hf (0.250, 0.250, 0.750)
Hf (0.250, 0.750, 0.250)
Hf (0.250, 0.750, 0.750)
Hf (0.750, 0.250, 0.250)
Hf (0.750, 0.250, 0.750)
Hf (0.750, 0.750, 0.250)
Hf (0.750, 0.750, 0.750)
Tc (0.000, 0.000, 0.500)
Tc (0.000, 0.500, 0.000)
Tc (0.500, 0.000, 0.000)
Tc (0.500, 0.500, 0.500)


No. 6
VASP calculation (SCAN) on LiHfTe2 at its PBEsol-relaxed geometry.

Uncorrected formation energy in eV/f.u.: -1.88

abc: 7.098 7.098 7.098
angles: 90.00 90.00 90.00
Element x y z (fractional)
Li (0.000, 0.000, 0.000)
Li (0.000, 0.500, 0.500)
Li (0.500, 0.000, 0.500)
Li (0.500, 0.500, 0.000)
Hf (0.000, 0.000, 0.500)
Hf (0.000, 0.500, 0.000)
Hf (0.500, 0.000, 0.000)
Hf (0.500, 0.500, 0.500)
Te (0.250, 0.250, 0.250)
Te (0.250, 0.250, 0.750)
Te (0.250, 0.750, 0.250)
Te (0.250, 0.750, 0.750)
Te (0.750, 0.250, 0.250)
Te (0.750, 0.250, 0.750)
Te (0.750, 0.750, 0.250)
Te (0.750, 0.750, 0.750)


Density of states at the Fermi level? In order: 3.789, 2.932, 4.913, 8.503, 11.437, 13.782 states/eV per cell.